First-principles (PBE-GGA) data for a relaxed Zr2I2Br crystal, as listed in Alexandria.

Geometry as POSCAR:
```
Zr2I2Br
1.0
4.192 0.000 0.000
0.000 4.192 0.000
2.096 2.096 8.533
I Zr Br
2 2 1
Direct
0.376 0.376 0.247
0.624 0.624 0.753
0.250 0.750 0.500
0.750 0.250 0.500
0.000 0.000 0.000
```

Values from the calculation:
Offset from the most stable computed form ... 0.368 eV per atom
Total magnetization ... 0.0 μB per formula unit
Raw formation energy ... -7.7 kcal/mol of atoms
Total DFT energy (no corrections) ... -4.709 eV/atom
Space-group type ... I4/mmm (139)



First-principles (PBE-GGA) data for a relaxed ZrIBr2 crystal, as listed in Alexandria.

Geometry as POSCAR:
```
ZrIBr2
1.0
-1.415 -1.634 -3.033
5.305 -1.715 -1.551
-1.508 -7.497 2.468
Br Zr I
2 1 1
Direct
0.374 0.992 0.254
0.626 0.008 0.746
0.000 0.000 0.000
0.000 0.500 0.000
```

Values from the calculation:
Offset from the most stable computed form ... 0.000 eV per atom
Total magnetization ... 0.3 μB per formula unit
Raw formation energy ... -24.8 kcal/mol of atoms
Total DFT energy (no corrections) ... -4.437 eV/atom
Space-group type ... P-1 (2)



First-principles (PBE-GGA) data for a relaxed ZrIBr3 crystal, as listed in Alexandria.

Geometry as POSCAR:
```
ZrIBr3
1.0
5.856 0.000 0.000
0.000 5.856 0.000
0.000 0.000 5.856
Br I Zr
3 1 1
Direct
0.000 0.000 0.500
0.000 0.500 0.000
0.500 0.000 0.000
0.000 0.000 0.000
0.500 0.500 0.500
```

Values from the calculation:
Offset from the most stable computed form ... 1.983 eV per atom
Total magnetization ... 2.7 μB per formula unit
Raw formation energy ... 16.8 kcal/mol of atoms
Total DFT energy (no corrections) ... -2.295 eV/atom
Space-group type ... Pm-3m (221)



First-principles (PBE-GGA) data for a relaxed ZrI2Br crystal, as listed in Alexandria.

Geometry as POSCAR:
```
ZrI2Br
1.0
3.632 0.000 -0.001
1.815 7.312 0.483
1.815 3.029 6.673
Br I Zr
1 2 1
Direct
0.250 0.160 0.340
0.096 0.881 0.926
0.404 0.574 0.619
0.750 0.885 0.615
```

Values from the calculation:
Offset from the most stable computed form ... 0.000 eV per atom
Total magnetization ... 0.4 μB per formula unit
Raw formation energy ... -22.5 kcal/mol of atoms
Total DFT energy (no corrections) ... -4.307 eV/atom
Space-group type ... Imm2 (44)



First-principles (PBE-GGA) data for a relaxed ZrI2Br crystal, as listed in Alexandria.

Geometry as POSCAR:
```
ZrI2Br
1.0
10.621 0.000 0.000
0.000 10.621 0.000
5.310 5.310 2.717
Zr I Br
2 4 2
Direct
0.750 0.250 0.500
0.000 0.000 0.000
0.770 0.125 0.250
0.375 0.230 0.750
0.875 0.020 0.750
0.980 0.625 0.250
0.500 0.500 0.000
0.250 0.750 0.500
```

Values from the calculation:
Offset from the most stable computed form ... 0.208 eV per atom
Total magnetization ... 1.0 μB per formula unit
Raw formation energy ... -17.7 kcal/mol of atoms
Total DFT energy (no corrections) ... -4.100 eV/atom
Space-group type ... I-42d (122)



First-principles (PBE-GGA) data for a relaxed Zr2I2Br crystal, as listed in Alexandria.

Geometry as POSCAR:
```
Zr2I2Br
1.0
8.631 0.000 0.000
0.000 8.631 0.000
0.000 0.000 3.475
Zr I Br
4 4 2
Direct
0.154 0.654 0.500
0.654 0.846 0.500
0.846 0.346 0.500
0.346 0.154 0.500
0.138 0.362 0.000
0.362 0.862 0.000
0.862 0.638 0.000
0.638 0.138 0.000
0.000 0.000 0.000
0.500 0.500 0.000
```

Values from the calculation:
Offset from the most stable computed form ... 0.717 eV per atom
Total magnetization ... 0.0 μB per formula unit
Raw formation energy ... 0.3 kcal/mol of atoms
Total DFT energy (no corrections) ... -4.360 eV/atom
Space-group type ... P4/mbm (127)



First-principles (PBE-GGA) data for a relaxed ZrIBr2 crystal, as listed in Alexandria.

Geometry as POSCAR:
```
ZrIBr2
1.0
2.020 0.000 12.146
-1.010 1.749 12.146
-1.010 -1.749 12.146
Br I Zr
2 1 1
Direct
0.886 0.886 0.886
0.114 0.114 0.114
0.000 0.000 0.000
0.500 0.500 0.500
```

Values from the calculation:
Offset from the most stable computed form ... 0.252 eV per atom
Total magnetization ... 0.0 μB per formula unit
Raw formation energy ... -19.0 kcal/mol of atoms
Total DFT energy (no corrections) ... -4.185 eV/atom
Space-group type ... R-3m (166)



First-principles (PBE-GGA) data for a relaxed ZrIBr3 crystal, as listed in Alexandria.

Geometry as POSCAR:
```
ZrIBr3
1.0
7.426 -0.851 0.000
-1.069 7.455 0.000
0.000 0.000 8.306
Br Zr I
6 2 2
Direct
0.388 0.645 0.750
0.692 0.904 0.042
0.308 0.096 0.958
0.692 0.904 0.458
0.612 0.355 0.250
0.308 0.096 0.542
0.471 0.012 0.250
0.529 0.988 0.750
0.831 0.288 0.750
0.169 0.712 0.250
```

Values from the calculation:
Offset from the most stable computed form ... 0.061 eV per atom
Total magnetization ... 0.0 μB per formula unit
Raw formation energy ... -27.5 kcal/mol of atoms
Total DFT energy (no corrections) ... -4.216 eV/atom
Space-group type ... P2_1/m (11)



First-principles (PBE-GGA) data for a relaxed ZrI2Br crystal, as listed in Alexandria.

Geometry as POSCAR:
```
ZrI2Br
1.0
0.000 3.795 3.795
3.795 0.000 3.795
3.795 3.795 0.000
I Br Zr
2 1 1
Direct
0.250 0.250 0.250
0.750 0.750 0.750
0.000 0.000 0.000
0.500 0.500 0.500
```

Values from the calculation:
Offset from the most stable computed form ... 0.768 eV per atom
Total magnetization ... 1.0 μB per formula unit
Raw formation energy ... -4.8 kcal/mol of atoms
Total DFT energy (no corrections) ... -3.540 eV/atom
Space-group type ... Fm-3m (225)



First-principles (PBE-GGA) data for a relaxed ZrIBr3 crystal, as listed in Alexandria.

Geometry as POSCAR:
```
ZrIBr3
1.0
7.300 0.177 1.983
-2.933 5.771 1.730
0.092 -0.490 9.866
Br Zr I
6 2 2
Direct
0.258 0.053 0.915
0.934 0.229 0.563
0.703 0.954 0.145
0.120 0.461 0.143
0.024 0.865 0.335
0.609 0.360 0.333
0.792 0.087 0.383
0.936 0.732 0.095
0.787 0.588 0.894
0.443 0.743 0.584
```

Values from the calculation:
Offset from the most stable computed form ... 0.000 eV per atom
Total magnetization ... 0.0 μB per formula unit
Raw formation energy ... -28.9 kcal/mol of atoms
Total DFT energy (no corrections) ... -4.277 eV/atom
Space-group type ... Cc (9)



First-principles (PBE-GGA) data for a relaxed Zr2I8Br crystal, as listed in Alexandria.

Geometry as POSCAR:
```
Zr2I8Br
1.0
-1.269 1.301 7.790
-8.529 -1.069 -1.906
0.276 -7.984 0.402
I Zr Br
8 2 1
Direct
0.818 0.289 0.653
0.147 0.626 0.853
0.853 0.374 0.147
0.347 0.289 0.182
0.318 0.246 0.682
0.182 0.711 0.347
0.682 0.754 0.318
0.653 0.711 0.818
0.905 0.705 0.095
0.095 0.295 0.905
0.000 0.000 0.000
```

Values from the calculation:
Total magnetization ... 0.0 μB per formula unit
Raw formation energy ... -17.9 kcal/mol of atoms
Total DFT energy (no corrections) ... -3.611 eV/atom
Space-group type ... C2/m (12)



First-principles (PBE-GGA) data for a relaxed ZrIBr3 crystal, as listed in Alexandria.

Geometry as POSCAR:
```
ZrIBr3
1.0
5.383 0.000 0.000
0.000 5.383 0.000
0.000 0.000 5.383
Br I Zr
3 1 1
Direct
0.500 0.000 0.000
0.000 0.500 0.000
0.000 0.000 0.500
0.500 0.500 0.500
0.000 0.000 0.000
```

Values from the calculation:
Offset from the most stable computed form ... 0.538 eV per atom
Total magnetization ... 0.0 μB per formula unit
Raw formation energy ... -16.5 kcal/mol of atoms
Total DFT energy (no corrections) ... -3.739 eV/atom
Space-group type ... Pm-3m (221)



First-principles (PBE-GGA) data for a relaxed ZrIBr2 crystal, as listed in Alexandria.

Geometry as POSCAR:
```
ZrIBr2
1.0
-6.460 3.631 6.109
-4.416 -8.520 0.394
-3.726 -3.226 5.527
Zr I Br
2 2 4
Direct
0.250 0.750 0.500
0.500 0.500 0.000
0.000 0.000 0.000
0.750 0.250 0.500
0.257 0.625 0.250
0.493 0.125 0.250
0.375 0.507 0.750
0.875 0.743 0.750
```

Values from the calculation:
Offset from the most stable computed form ... 0.218 eV per atom
Total magnetization ... 1.0 μB per formula unit
Raw formation energy ... -19.8 kcal/mol of atoms
Total DFT energy (no corrections) ... -4.218 eV/atom
Space-group type ... I-42d (122)



First-principles (PBE-GGA) data for a relaxed ZrIBr crystal, as listed in Alexandria.

Geometry as POSCAR:
```
ZrIBr
1.0
3.614 0.138 0.560
0.004 8.041 -1.627
-0.976 -5.516 7.287
I Br Zr
2 2 2
Direct
0.496 0.023 0.761
0.504 0.977 0.239
0.004 0.501 0.730
0.996 0.499 0.270
0.500 0.500 0.500
0.000 0.000 0.000
```

Values from the calculation:
Offset from the most stable computed form ... 0.103 eV per atom
Total magnetization ... 0.0 μB per formula unit
Raw formation energy ... -21.9 kcal/mol of atoms
Total DFT energy (no corrections) ... -4.874 eV/atom
Space-group type ... P-1 (2)



First-principles (PBE-GGA) data for a relaxed ZrIBr crystal, as listed in Alexandria.

Geometry as POSCAR:
```
ZrIBr
1.0
-0.217 3.056 1.979
1.771 -3.459 5.536
7.560 1.764 -1.893
I Br Zr
2 2 2
Direct
0.250 0.407 0.787
0.750 0.593 0.213
0.750 0.902 0.745
0.250 0.098 0.255
0.250 0.812 0.994
0.750 0.188 0.006
```

Values from the calculation:
Offset from the most stable computed form ... 0.000 eV per atom
Total magnetization ... 0.0 μB per formula unit
Raw formation energy ... -24.3 kcal/mol of atoms
Total DFT energy (no corrections) ... -4.977 eV/atom
Space-group type ... P2_1/m (11)



First-principles (PBE-GGA) data for a relaxed ZrI2Br2 crystal, as listed in Alexandria.

Geometry as POSCAR:
```
ZrI2Br2
1.0
4.157 0.000 0.000
0.000 7.025 0.000
0.000 0.000 14.285
Zr Br I
2 4 4
Direct
0.000 0.000 0.000
0.000 0.500 0.500
0.000 0.740 0.634
0.000 0.240 0.866
0.000 0.260 0.366
0.000 0.760 0.134
0.500 0.223 0.097
0.500 0.723 0.403
0.500 0.777 0.903
0.500 0.277 0.597
```

Values from the calculation:
Total magnetization ... 0.0 μB per formula unit
Raw formation energy ... -24.9 kcal/mol of atoms
Total DFT energy (no corrections) ... -4.077 eV/atom
Space-group type ... Pbam (55)



First-principles (PBE-GGA) data for a relaxed ZrIBr2 crystal, as listed in Alexandria.

Geometry as POSCAR:
```
ZrIBr2
1.0
-1.310 -3.962 3.194
0.704 0.464 5.187
-4.155 0.456 3.185
I Br Zr
1 2 1
Direct
0.500 0.500 0.500
0.750 0.750 0.750
0.250 0.250 0.250
0.000 0.000 0.000
```

Values from the calculation:
Offset from the most stable computed form ... 0.917 eV per atom
Total magnetization ... 1.0 μB per formula unit
Raw formation energy ... -3.7 kcal/mol of atoms
Total DFT energy (no corrections) ... -3.520 eV/atom
Space-group type ... Fm-3m (225)



First-principles (PBE-GGA) data for a relaxed Zr2IBr crystal, as listed in Alexandria.

Geometry as POSCAR:
```
Zr2IBr
1.0
-0.031 -4.729 -1.615
-4.095 -1.873 -2.168
-0.012 -0.966 -4.903
Zr Br I
2 1 1
Direct
0.750 0.750 0.750
0.250 0.250 0.250
0.000 0.000 0.000
0.500 0.500 0.500
```

Values from the calculation:
Offset from the most stable computed form ... 0.000 eV per atom
Total magnetization ... 1.5 μB per formula unit
Raw formation energy ... -0.8 kcal/mol of atoms
Total DFT energy (no corrections) ... -5.113 eV/atom
Space-group type ... Fm-3m (225)



First-principles (PBE-GGA) data for a relaxed ZrIBr crystal, as listed in Alexandria.

Geometry as POSCAR:
```
ZrIBr
1.0
3.650 0.000 0.000
-1.825 3.161 0.000
0.000 0.000 8.037
I Zr Br
1 1 1
Direct
0.000 0.000 0.085
0.667 0.333 0.341
0.333 0.667 0.573
```

Values from the calculation:
Offset from the most stable computed form ... 0.119 eV per atom
Total magnetization ... 0.0 μB per formula unit
Raw formation energy ... -21.6 kcal/mol of atoms
Total DFT energy (no corrections) ... -4.858 eV/atom
Space-group type ... P3m1 (156)



First-principles (PBE-GGA) data for a relaxed Zr2IBr crystal, as listed in Alexandria.

Geometry as POSCAR:
```
Zr2IBr
1.0
7.804 0.000 0.000
0.000 7.804 0.000
3.902 3.902 3.351
Zr Br I
4 2 2
Direct
0.167 0.625 0.250
0.875 0.833 0.750
0.583 0.125 0.250
0.375 0.417 0.750
0.500 0.500 0.000
0.250 0.750 0.500
0.000 0.000 0.000
0.750 0.250 0.500
```

Values from the calculation:
Offset from the most stable computed form ... 0.188 eV per atom
Total magnetization ... 0.0 μB per formula unit
Raw formation energy ... 3.6 kcal/mol of atoms
Total DFT energy (no corrections) ... -4.925 eV/atom
Space-group type ... I-42d (122)